DFT (PBE) results for crystalline Te2AsH4 at its relaxed geometry.

Unit cell a=4.0936 b=4.0936 c=7.4842 alpha=74.13 beta=74.13 gamma=90.00
Element x y z (fractional)
H: 0.8790 0.8790 0.2419
H: 0.1210 0.1210 0.7581
H: 0.0000 0.5000 0.0000
H: 0.5000 0.0000 0.0000
As: 0.0000 0.0000 0.0000
Te: 0.7255 0.7255 0.5490
Te: 0.2745 0.2745 0.4510

Output
Uncorrected energy (eV per atom): -3.04
Total magnetization (Bohr magnetons per cell): 0.00
SG: I4/mmm (139)


DFT (PBE) results for crystalline TlSb2Pb at its relaxed geometry.

Unit cell a=4.9180 b=6.7329 c=8.4418 alpha=90.00 beta=90.00 gamma=111.42
Element x y z (fractional)
Tl: 0.9200 0.8399 0.2500
Tl: 0.0800 0.1601 0.7500
Sb: 0.3891 0.7782 0.9635
Sb: 0.6109 0.2218 0.0365
Sb: 0.6109 0.2218 0.4635
Sb: 0.3891 0.7782 0.5365
Pb: 0.2014 0.4028 0.2500
Pb: 0.7986 0.5972 0.7500

Output
Formation energy without anion corrections (eV/atom): 0.057
Total magnetization (Bohr magnetons per cell): 0.00
SG: Cmcm (63)


DFT (PBE) results for crystalline YCd2 at its relaxed geometry.

Unit cell a=5.1438 b=5.1431 c=6.4153 alpha=90.00 beta=90.01 gamma=59.99
Element x y z (fractional)
Cd: 0.9722 0.0555 0.9630
Cd: 0.6389 0.7223 0.7776
Cd: 0.3056 0.3889 0.5927
Cd: 0.6389 0.7222 0.2776
Y: 0.9722 0.0556 0.4734
Y: 0.3056 0.3889 0.0823

Output
Formation enthalpy at 0 K (meV/atom): -306.6
Total magnetization (Bohr magnetons per cell): 0.00
SG: P-3m1 (164)


DFT (PBE) results for crystalline TiBe3Cd at its relaxed geometry.

Unit cell a=4.2734 b=4.2734 c=4.2734 alpha=90.00 beta=90.00 gamma=90.00
Element x y z (fractional)
Be: 0.0000 0.5000 0.0000
Be: 0.0000 0.0000 0.5000
Be: 0.5000 0.0000 0.0000
Ti: 0.5000 0.5000 0.5000
Cd: 0.0000 0.0000 0.0000

Output
Polymorph energy (0 for the lowest one) (meV/atom): 0
Formation enthalpy at 0 K (meV/atom): 1026.0
Total magnetization (Bohr magnetons per cell): 0.00
SG: Pm-3m (221)